Sc3CdNi8 | GGA-PBE | relaxed

abc: 4.8794 4.8794 8.4702
angles: 73.26 73.26 60.00
Fractional coordinates of all 12 atoms:
Ni: 0.4374 0.9415 0.1837
Ni: 0.9367 0.9367 0.6910
Ni: 0.4357 0.9367 0.6910
Ni: 0.9367 0.4357 0.6910
Sc: 0.5036 0.5036 0.4892
Sc: 0.3760 0.3760 0.8720
Ni: 0.6878 0.6878 0.9366
Sc: 0.9960 0.9960 0.0120
Ni: 0.1875 0.1875 0.4375
Ni: 0.9415 0.4374 0.1837
Ni: 0.4374 0.4374 0.1837
Cd: 0.8737 0.8737 0.3788

## Properties
Its density of states at the Fermi level is 0.731 states/eV/atom. For the energy of formation, the calculation gives -0.45 eV per atom.